# 1
Computed, not measured: an optimized crystal structure of SmNiBi at the PBE level of DFT.

## Properties
The value obtained for the total energy is -4.822 eV per atom.

a = 5.2236 Å, b = 5.2236 Å, c = 6.1946 Å
α = 90.00°, β = 90.00°, γ = 120.00°
Closest atoms and distances in Å follow each position.
Space group P6_3/mmc (No. 194)
Inequivalent atoms, fractional coordinates:
Sm 0.3333 0.6667 0.2500 x2  5 Bi 3.02-3.10
Ni 0.0000 0.0000 0.0000 x2  2 Ni 3.10, 6 Bi 3.39, 6 Sm 3.39
Bi 0.3333 0.6667 0.7500 x2  5 Sm 3.02-3.10


# 2
Computed, not measured: an optimized crystal structure of Y7Ni2Se2 at the PBE level of DFT.

## Properties
The value obtained for the total energy is -6.572 eV per atom.

a = 3.8157 Å, b = 15.1922 Å, c = 9.3710 Å
α = 90.00°, β = 90.00°, γ = 90.00°
Closest atoms and distances in Å follow each position.
Space group Imm2 (No. 44)
Inequivalent atoms, fractional coordinates:
Y 0.0000 0.0000 0.0000 x2  3 Se 3.04-3.21
Y 0.0000 0.1229 0.4073 x4  2 Ni 2.83, 3 Se 3.00-3.04
Y 0.0000 0.3147 0.6119 x4  3 Ni 2.78-3.06, 1 Se 3.11
Y 0.0000 0.3618 0.2559 x4  2 Ni 2.87, 2 Se 2.98
Ni 0.0000 0.2397 0.9156 x4  7 Y 2.78-3.06
Se 0.0000 0.0000 0.6572 x2  7 Y 2.98-3.21
Se 0.0000 0.5000 0.7521 x2  8 Y 3.04-3.11


# 3
Computed, not measured: an optimized crystal structure of Lu4Cu2Si at the PBE level of DFT.

## Properties
The value obtained for the total energy is -4.541 eV per atom.

a = 7.6216 Å, b = 10.9520 Å, c = 4.0013 Å
α = 90.00°, β = 90.00°, γ = 90.00°
Closest atoms and distances in Å follow each position.
Space group Cmmm (No. 65)
Inequivalent atoms, fractional coordinates:
Lu 0.0000 0.2381 0.0000 x4  4 Cu 2.77, 1 Si 2.87
Lu 0.2402 0.0000 0.5000 x4  2 Cu 2.74, 2 Si 2.81
Cu 0.2500 0.2500 0.5000 x4  6 Lu 2.74-2.77
Si 0.0000 0.5000 0.0000 x2  6 Lu 2.81-2.87


# 4
Computed, not measured: an optimized crystal structure of ErZrTc at the PBE level of DFT.

## Properties
Its calculated formation energy is 15.6 kcal/mol of atoms.

a = 6.5217 Å, b = 6.5217 Å, c = 6.5217 Å
α = 90.00°, β = 90.00°, γ = 90.00°
Closest atoms and distances in Å follow each position.
Space group F-43m (No. 216)
Inequivalent atoms, fractional coordinates:
Er 0.0000 0.0000 0.0000 x4  4 Zr 2.82
Zr 0.2500 0.2500 0.2500 x4  4 Tc 2.82, 4 Er 2.82
Tc 0.0000 0.0000 0.5000 x4  4 Zr 2.82